1.
! Tm2HfTiP4 (PBE, relaxed); values from VASP
&SYSTEM
  ibrav = 0, nat = 8, ntyp = 4
/
ATOMIC_SPECIES
Tm 168.93 Tm.upf
Hf 178.49 Hf.upf
Ti 47.87 Ti.upf
P 30.97 P.upf
ATOMIC_POSITIONS angstrom
Tm -2.110 2.878 -1.275
Tm -2.908 1.300 2.043
Hf 0.000 0.000 0.000
Ti -3.093 -2.103 0.385
P -2.566 0.279 -0.454
P -5.546 1.796 1.607
P -2.508 3.881 1.268
P -3.308 -1.280 2.818
CELL_PARAMETERS angstrom
-2.295 -0.525 -2.933
-3.891 -3.681 3.703
-1.926 6.282 0.383
! - spin magnetization (μB/cell) = 0.0
! - DOS(E_F) (states/eV/f.u.) = 4.66
! - symmetry = P2/m (10)
! - electronic total energy (eV for the cell shown) = -59.40

---

2.
! HfTi2ZnP (PBE, relaxed); values from VASP
&SYSTEM
  ibrav = 0, nat = 5, ntyp = 4
/
ATOMIC_SPECIES
P 30.97 P.upf
Zn 65.41 Zn.upf
Hf 178.49 Hf.upf
Ti 47.87 Ti.upf
ATOMIC_POSITIONS angstrom
P 2.414 2.472 2.414
Zn 0.000 2.472 0.000
Hf 0.000 0.000 0.000
Ti 0.000 0.000 2.414
Ti 2.414 0.000 0.000
CELL_PARAMETERS angstrom
4.829 0.000 0.000
0.000 4.943 0.000
0.000 0.000 4.829
! - spin magnetization (μB/cell) = 0.0
! - DOS(E_F) (states/eV/f.u.) = 7.17
! - symmetry = P4/mmm (123)
! - electronic total energy (eV for the cell shown) = -25.57

---

3.
! Hf8TlP2 (PBE, relaxed); values from VASP
&SYSTEM
  ibrav = 0, nat = 11, ntyp = 3
/
ATOMIC_SPECIES
Hf 178.49 Hf.upf
Tl 204.38 Tl.upf
P 30.97 P.upf
ATOMIC_POSITIONS angstrom
Hf 3.378 7.166 7.209
Hf 3.965 4.817 5.426
Hf 2.867 10.196 7.737
Hf 4.476 3.493 2.651
Hf 3.378 8.872 4.961
Hf 3.965 6.523 3.178
Hf 5.930 8.462 6.421
Hf 1.413 5.227 3.966
Tl 0.000 0.000 0.000
P 5.469 10.426 7.911
P 1.874 3.263 2.476
CELL_PARAMETERS angstrom
5.133 0.764 0.579
1.105 8.164 2.661
1.105 4.762 7.146
! - spin magnetization (μB/cell) = 0.0
! - DOS(E_F) (states/eV/f.u.) = 7.91
! - symmetry = C2/m (12)
! - electronic total energy (eV for the cell shown) = -95.69

---

4.
! Hf6Tl2P (PBE, relaxed); values from VASP
&SYSTEM
  ibrav = 0, nat = 18, ntyp = 3
/
ATOMIC_SPECIES
Hf 178.49 Hf.upf
Tl 204.38 Tl.upf
P 30.97 P.upf
ATOMIC_POSITIONS angstrom
Hf 2.058 -3.928 7.788
Hf 4.756 -1.699 6.907
Hf 8.750 -1.514 7.325
Hf 4.676 0.751 4.303
Hf 8.638 1.402 4.496
Hf 2.298 -1.280 4.952
Hf 7.065 0.881 1.189
Hf 4.367 -1.348 2.071
Hf 0.373 -1.533 1.652
Hf 4.448 -3.798 4.674
Hf 0.486 -4.450 4.481
Hf 6.825 -1.767 4.026
Tl 6.665 0.407 6.416
Tl 6.926 -3.593 6.382
Tl 2.198 0.545 2.595
Tl 2.458 -3.454 2.562
P -0.093 -1.983 4.193
P 4.655 0.459 0.295
CELL_PARAMETERS angstrom
-0.627 2.499 5.266
0.440 -6.465 3.121
9.310 0.919 0.591
! - spin magnetization (μB/cell) = 0.0
! - DOS(E_F) (states/eV/f.u.) = 7.59
! - symmetry = P2_1/c (14)
! - electronic total energy (eV for the cell shown) = -142.51

---

5.
! HfTlP3 (PBE, relaxed); values from VASP
&SYSTEM
  ibrav = 0, nat = 5, ntyp = 3
/
ATOMIC_SPECIES
P 30.97 P.upf
Tl 204.38 Tl.upf
Hf 178.49 Hf.upf
ATOMIC_POSITIONS angstrom
P 1.468 -1.554 -1.223
P 0.309 -1.325 2.053
P -1.953 -1.377 -0.595
Tl 0.000 0.000 0.000
Hf -0.176 -4.256 0.235
CELL_PARAMETERS angstrom
-3.906 -2.755 -1.190
2.937 -3.108 -2.446
0.617 -2.649 4.107
! - spin magnetization (μB/cell) = 0.0
! - DOS(E_F) (states/eV/f.u.) = 4.74
! - symmetry = Pm-3m (221)
! - electronic total energy (eV for the cell shown) = -21.72

---

6.
! HfTlP3 (PBE, relaxed); values from VASP
&SYSTEM
  ibrav = 0, nat = 5, ntyp = 3
/
ATOMIC_SPECIES
P 30.97 P.upf
Tl 204.38 Tl.upf
Hf 178.49 Hf.upf
ATOMIC_POSITIONS angstrom
P 0.000 2.519 0.000
P 0.000 0.000 2.519
P 2.519 0.000 0.000
Tl 2.519 2.519 2.519
Hf 0.000 0.000 0.000
CELL_PARAMETERS angstrom
5.037 0.000 0.000
0.000 5.037 0.000
0.000 0.000 5.037
! - spin magnetization (μB/cell) = 0.0
! - DOS(E_F) (states/eV/f.u.) = 6.17
! - symmetry = Pm-3m (221)
! - electronic total energy (eV for the cell shown) = -27.77

---

7.
! HfTlP2 (PBE, relaxed); values from VASP
&SYSTEM
  ibrav = 0, nat = 8, ntyp = 3
/
ATOMIC_SPECIES
P 30.97 P.upf
Tl 204.38 Tl.upf
Hf 178.49 Hf.upf
ATOMIC_POSITIONS angstrom
P 4.402 1.549 1.479
P 1.795 4.648 1.479
P 4.648 4.894 4.436
P 7.746 7.500 4.436
Tl 0.000 0.000 0.000
Tl 6.197 3.098 2.957
Hf 3.098 3.098 0.000
Hf 3.098 6.197 2.957
CELL_PARAMETERS angstrom
6.197 0.000 0.000
0.000 6.197 0.000
3.098 3.098 5.915
! - spin magnetization (μB/cell) = 0.0
! - DOS(E_F) (states/eV/f.u.) = 3.41
! - symmetry = I-42d (122)
! - electronic total energy (eV for the cell shown) = -47.70

---

8.
! HfTlP2 (PBE, relaxed); values from VASP
&SYSTEM
  ibrav = 0, nat = 4, ntyp = 3
/
ATOMIC_SPECIES
P 30.97 P.upf
Tl 204.38 Tl.upf
Hf 178.49 Hf.upf
ATOMIC_POSITIONS angstrom
P 1.693 1.693 1.693
P 5.079 5.079 5.079
Tl 3.386 3.386 3.386
Hf 0.000 0.000 0.000
CELL_PARAMETERS angstrom
0.000 3.386 3.386
3.386 0.000 3.386
3.386 3.386 0.000
! - spin magnetization (μB/cell) = 0.0
! - DOS(E_F) (states/eV/f.u.) = 1.46
! - symmetry = Fm-3m (225)
! - electronic total energy (eV for the cell shown) = -22.84

---

Among the records above, which one has the highest DOS(E_F)?
Hf8TlP2

---

Which of these has the highest DOS(E_F)?
Hf8TlP2

---

Copy entry 8 word for word.
! HfTlP2 (PBE, relaxed); values from VASP
&SYSTEM
  ibrav = 0, nat = 4, ntyp = 3
/
ATOMIC_SPECIES
P 30.97 P.upf
Tl 204.38 Tl.upf
Hf 178.49 Hf.upf
ATOMIC_POSITIONS angstrom
P 1.693 1.693 1.693
P 5.079 5.079 5.079
Tl 3.386 3.386 3.386
Hf 0.000 0.000 0.000
CELL_PARAMETERS angstrom
0.000 3.386 3.386
3.386 0.000 3.386
3.386 3.386 0.000
! - spin magnetization (μB/cell) = 0.0
! - DOS(E_F) (states/eV/f.u.) = 1.46
! - symmetry = Fm-3m (225)
! - electronic total energy (eV for the cell shown) = -22.84